Entry 1:
A plane-wave DFT calculation with SCAN was carried out for ScZnIn2 at its PBEsol-relaxed geometry.

Lattice parameters (Å, degrees): 4.236 4.302 4.302 90.00 90.00 90.00
Positions (direct):
Zn (0.500, 0.000, 0.000)
Sc (0.500, 0.500, 0.500)
In (0.000, 0.000, 0.500)
In (0.000, 0.500, 0.000)

Computed properties:
**Formation energy**: -0.423 eV per atom
**SG**: No. 123



Entry 2:
A plane-wave DFT calculation with SCAN was carried out for In2Se3 at its PBEsol-relaxed geometry.

Lattice parameters (Å, degrees): 9.780 9.780 9.780 23.77 23.77 23.77
Positions (direct):
In (0.253, 0.253, 0.253)
In (0.713, 0.713, 0.713)
Se (0.799, 0.799, 0.799)
Se (0.541, 0.541, 0.541)
Se (0.996, 0.996, 0.996)

Computed properties:
**SG**: No. 160



Entry 3:
A plane-wave DFT calculation with SCAN was carried out for In2Se3 at its PBEsol-relaxed geometry.

Lattice parameters (Å, degrees): 8.948 8.948 8.948 25.73 25.73 25.73
Positions (direct):
Se (0.000, 0.000, 0.000)
Se (0.400, 0.400, 0.400)
Se (0.600, 0.600, 0.600)
In (0.206, 0.206, 0.206)
In (0.794, 0.794, 0.794)

Computed properties:
**SG**: No. 166



Entry 4:
A plane-wave DFT calculation with SCAN was carried out for InSe3 at its PBEsol-relaxed geometry.

Lattice parameters (Å, degrees): 3.683 3.758 7.075 90.00 90.00 90.00
Positions (direct):
Se (0.000, 0.500, 0.418)
Se (0.500, 0.000, 0.360)
Se (0.500, 0.500, 0.881)
In (0.000, 0.000, 0.007)

Computed properties:
**SG**: No. 25



Entry 5:
A plane-wave DFT calculation with SCAN was carried out for In3Se at its PBEsol-relaxed geometry.

Lattice parameters (Å, degrees): 3.896 3.896 8.123 76.13 76.13 60.00
Positions (direct):
Se (0.000, 0.000, 0.000)
In (0.256, 0.256, 0.231)
In (0.500, 0.500, 0.500)
In (0.744, 0.744, 0.769)

Computed properties:
**SG**: No. 166



Entry 6:
A plane-wave DFT calculation with SCAN was carried out for In6Se7 at its PBEsol-relaxed geometry.

Lattice parameters (Å, degrees): 4.053 9.387 17.487 100.71 90.00 90.00
Positions (direct):
Se (0.249, 0.747, 0.277)
Se (0.749, 0.552, 0.094)
Se (0.749, 0.531, 0.595)
Se (0.249, 0.469, 0.405)
Se (0.249, 0.840, 0.011)
Se (0.749, 0.761, 0.821)
Se (0.249, 0.169, 0.532)
Se (0.748, 0.121, 0.336)
Se (0.749, 0.160, 0.989)
Se (0.249, 0.448, 0.906)
Se (0.249, 0.239, 0.179)
Se (0.248, 0.879, 0.664)
Se (0.749, 0.831, 0.468)
Se (0.749, 0.253, 0.723)
In (0.249, 0.941, 0.879)
In (0.748, 0.017, 0.606)
In (0.749, 0.459, 0.270)
In (0.249, 0.541, 0.730)
In (0.749, 0.059, 0.121)
In (0.249, 0.352, 0.046)
In (0.749, 0.648, 0.954)
In (0.248, 0.983, 0.394)
In (0.749, 0.817, 0.191)
In (0.249, 0.673, 0.534)
In (0.749, 0.327, 0.466)
In (0.249, 0.183, 0.809)

Computed properties:
**SG**: No. 4



Entry 7:
A plane-wave DFT calculation with SCAN was carried out for In2Se3 at its PBEsol-relaxed geometry.

Lattice parameters (Å, degrees): 3.949 3.949 9.402 90.00 90.00 120.00
Positions (direct):
In (0.333, 0.667, 0.804)
In (0.667, 0.333, 0.196)
Se (0.333, 0.667, 0.339)
Se (0.667, 0.333, 0.661)
Se (0.000, 0.000, 0.000)

Computed properties:
**SG**: No. 164



Entry 8:
A plane-wave DFT calculation with SCAN was carried out for InSe3 at its PBEsol-relaxed geometry.

Lattice parameters (Å, degrees): 3.725 3.835 7.403 105.01 104.57 90.00
Positions (direct):
Se (0.500, 0.500, 0.000)
Se (0.737, 0.237, 0.475)
Se (0.263, 0.763, 0.525)
In (0.000, 0.000, 0.000)

Computed properties:
**SG**: No. 71



Entry 9:
A plane-wave DFT calculation with SCAN was carried out for In3Se at its PBEsol-relaxed geometry.

Lattice parameters (Å, degrees): 4.656 4.656 4.656 90.00 90.00 90.00
Positions (direct):
Se (0.000, 0.000, 0.000)
In (0.000, 0.500, 0.500)
In (0.500, 0.500, 0.000)
In (0.500, 0.000, 0.500)

Computed properties:
**SG**: No. 221



Entry 10:
A plane-wave DFT calculation with SCAN was carried out for In3Se at its PBEsol-relaxed geometry.

Lattice parameters (Å, degrees): 3.678 5.205 6.072 115.38 107.63 90.00
Positions (direct):
Se (0.000, 0.500, 0.000)
In (0.276, 0.276, 0.551)
In (0.500, 0.000, 0.000)
In (0.724, 0.724, 0.449)

Computed properties:
**SG**: No. 71



Entry 11:
A plane-wave DFT calculation with SCAN was carried out for In23Se28 at its PBEsol-relaxed geometry.

Lattice parameters (Å, degrees): 8.056 10.205 17.915 74.98 77.01 66.75
Positions (direct):
Se (0.044, 0.903, 0.010)
Se (0.961, 0.587, 0.990)
Se (0.555, 0.921, 0.470)
Se (0.643, 0.493, 0.723)
Se (0.054, 0.921, 0.470)
Se (0.105, 0.194, 0.094)
Se (0.444, 0.579, 0.532)
Se (0.541, 0.907, 0.011)
Se (0.897, 0.302, 0.905)
Se (0.159, 0.502, 0.180)
Se (0.658, 0.504, 0.180)
Se (0.734, 0.867, 0.665)
Se (0.859, 0.006, 0.275)
Se (0.157, 0.283, 0.402)
Se (0.658, 0.279, 0.405)
Se (0.233, 0.870, 0.664)
Se (0.265, 0.634, 0.336)
Se (0.607, 0.194, 0.094)
Se (0.140, 0.493, 0.723)
Se (0.463, 0.587, 0.990)
Se (0.338, 0.223, 0.596)
Se (0.359, 0.007, 0.276)
Se (0.944, 0.580, 0.531)
Se (0.396, 0.300, 0.907)
Se (0.344, 0.994, 0.819)
Se (0.764, 0.634, 0.336)
Se (0.844, 0.994, 0.819)
Se (0.844, 0.223, 0.596)
In (0.416, 0.772, 0.396)
In (0.030, 0.210, 0.731)
In (0.080, 0.732, 0.608)
In (0.303, 0.426, 0.467)
In (0.315, 0.561, 0.808)
In (0.157, 0.814, 0.872)
In (0.222, 0.099, 0.953)
In (0.688, 0.930, 0.192)
In (0.917, 0.771, 0.395)
In (0.189, 0.930, 0.192)
In (0.967, 0.291, 0.272)
In (0.812, 0.569, 0.806)
In (0.804, 0.426, 0.467)
In (0.846, 0.690, 0.120)
In (0.656, 0.813, 0.876)
In (0.344, 0.690, 0.120)
In (0.780, 0.395, 0.045)
In (0.689, 0.081, 0.541)
In (0.281, 0.394, 0.045)
In (0.469, 0.291, 0.272)
In (0.191, 0.082, 0.535)
In (0.580, 0.732, 0.608)
In (0.725, 0.099, 0.953)

Computed properties:
**SG**: No. 8



Entry 12:
A plane-wave DFT calculation with SCAN was carried out for In2Se3 at its PBEsol-relaxed geometry.

Lattice parameters (Å, degrees): 7.132 7.132 19.311 90.00 90.00 120.00
Positions (direct):
Se (0.970, 0.341, 0.713)
Se (0.341, 0.371, 0.546)
Se (0.654, 0.734, 0.340)
Se (0.734, 0.081, 0.173)
Se (0.049, 0.701, 0.864)
Se (0.266, 0.919, 0.673)
Se (0.081, 0.346, 0.007)
Se (0.919, 0.654, 0.507)
Se (0.347, 0.049, 0.031)
Se (0.346, 0.266, 0.840)
Se (0.299, 0.347, 0.198)
Se (0.701, 0.653, 0.698)
Se (0.030, 0.659, 0.213)
Se (0.659, 0.629, 0.046)
Se (0.951, 0.299, 0.364)
Se (0.371, 0.030, 0.379)
Se (0.629, 0.970, 0.879)
Se (0.653, 0.951, 0.531)
In (0.655, 0.983, 0.667)
In (0.983, 0.328, 0.501)
In (0.990, 0.688, 0.361)
In (0.301, 0.990, 0.528)
In (0.312, 0.301, 0.694)
In (0.345, 0.017, 0.167)
In (0.017, 0.672, 0.001)
In (0.328, 0.345, 0.334)
In (0.672, 0.655, 0.834)
In (0.010, 0.312, 0.861)
In (0.688, 0.699, 0.194)
In (0.699, 0.010, 0.028)

Computed properties:
**SG**: No. 169



Entry 13:
A plane-wave DFT calculation with SCAN was carried out for InSe3 at its PBEsol-relaxed geometry.

Lattice parameters (Å, degrees): 3.955 3.955 6.440 107.89 107.89 90.00
Positions (direct):
In (0.000, 0.000, 0.000)
Se (0.242, 0.242, 0.484)
Se (0.500, 0.500, 0.000)
Se (0.758, 0.758, 0.516)

Computed properties:
**SG**: No. 139



Entry 14:
A plane-wave DFT calculation with SCAN was carried out for InSiSe at its PBEsol-relaxed geometry.

Lattice parameters (Å, degrees): 4.705 4.705 4.705 60.00 60.00 60.00
Positions (direct):
In (0.500, 0.500, 0.500)
Se (0.250, 0.250, 0.250)
Si (0.000, 0.000, 0.000)

Computed properties:
**SG**: No. 216



Entry 15:
A plane-wave DFT calculation with SCAN was carried out for In2SiSe at its PBEsol-relaxed geometry.

Lattice parameters (Å, degrees): 3.588 4.115 6.853 107.47 105.17 90.00
Positions (direct):
In (0.685, 0.685, 0.370)
In (0.315, 0.315, 0.630)
Si (0.000, 0.500, 0.000)
Se (0.500, 0.000, 0.000)

Computed properties:
**SG**: No. 71
**Polymorph energy (0 for the lowest one)**: 0 meV/atom



Entry 16:
A plane-wave DFT calculation with SCAN was carried out for In2SiSe at its PBEsol-relaxed geometry.

Lattice parameters (Å, degrees): 4.978 4.978 4.978 60.00 60.00 60.00
Positions (direct):
Se (0.500, 0.500, 0.500)
Si (0.250, 0.250, 0.250)
In (0.000, 0.000, 0.000)
In (0.750, 0.750, 0.750)

Computed properties:
**SG**: No. 216
**Polymorph energy (0 for the lowest one)**: 253 meV/atom



Entry 17:
A plane-wave DFT calculation with SCAN was carried out for In2SiSe at its PBEsol-relaxed geometry.

Lattice parameters (Å, degrees): 4.085 4.085 6.052 109.72 109.72 90.00
Positions (direct):
Se (0.500, 0.500, 0.000)
In (0.750, 0.250, 0.500)
In (0.000, 0.000, 0.000)
Si (0.250, 0.750, 0.500)

Computed properties:
**SG**: No. 119
**Polymorph energy (0 for the lowest one)**: 138 meV/atom



Entry 18:
A plane-wave DFT calculation with SCAN was carried out for SrInSe2 at its PBEsol-relaxed geometry.

Lattice parameters (Å, degrees): 4.255 4.255 6.043 90.00 90.00 90.00
Positions (direct):
Se (0.000, 0.000, 0.500)
Se (0.500, 0.500, 0.000)
Sr (0.000, 0.000, 0.000)
In (0.500, 0.500, 0.500)

Computed properties:
**SG**: No. 123



Entry 19:
A plane-wave DFT calculation with SCAN was carried out for SrInSe at its PBEsol-relaxed geometry.

Lattice parameters (Å, degrees): 5.191 5.191 5.191 60.00 60.00 60.00
Positions (direct):
Sr (0.250, 0.250, 0.250)
Se (0.500, 0.500, 0.500)
In (0.000, 0.000, 0.000)

Computed properties:
**SG**: No. 216
**Polymorph energy (0 for the lowest one)**: 278 meV/atom



Entry 20:
A plane-wave DFT calculation with SCAN was carried out for Sr2InSe at its PBEsol-relaxed geometry.

Lattice parameters (Å, degrees): 5.143 5.777 5.143 63.57 90.00 116.43
Positions (direct):
Se (0.000, 0.000, 0.000)
In (0.500, 0.000, 0.500)
Sr (0.750, 0.500, 0.750)
Sr (0.250, 0.500, 0.250)

Computed properties:
**SG**: No. 139



no.,calculated total energy (eV per formula unit)
1,-96.22
2,-128.23
3,-127.03
4,-94.01
5,-121.11
6,-348.10
7,-129.81
8,-93.81
9,-120.44
10,-120.67
11,-1358.34
12,-130.04
13,-94.07
14,-61.40
15,-96.14
16,-95.12
17,-95.59
18,-101.24
19,-77.56
20,-101.61